Density functional theory data (PBE) for CdNiBr6 after structural relaxation.

- Formation energy from raw total energies: -0.299 eV/atom
- DFT total energy: -2.3910 eV/atom
- SG: No. 148

a b c (Å): 6.9889 6.9889 6.9889
angles (deg): 56.19 56.19 56.19
Last column: nearest neighbours and their distance in Å.
Positions (direct):
Cd 0.0000 0.0000 0.0000  6 Br 2.83
Ni 0.5000 0.5000 0.5000  6 Br 2.43
Br 0.1120 0.7172 0.4353  1 Ni 2.43
Br 0.2828 0.5647 0.8880  1 Ni 2.43
Br 0.4353 0.1120 0.7172  1 Ni 2.43
Br 0.5647 0.8880 0.2828  1 Ni 2.43
Br 0.7172 0.4353 0.1120  1 Ni 2.43
Br 0.8880 0.2828 0.5647  1 Ni 2.43


Density functional theory data (PBE) for CdNi2Br after structural relaxation.

- Formation energy from raw total energies: 0.356 eV/atom
- DFT total energy: -3.1815 eV/atom
- ΔE to the lowest computed polymorph: 102 meV/atom
- SG: No. 166

a b c (Å): 7.7992 7.7992 7.7992
angles (deg): 23.50 23.50 23.50
Last column: nearest neighbours and their distance in Å.
Positions (direct):
Cd 0.0000 0.0000 0.0000  6 Ni 2.71
Ni 0.2455 0.2455 0.2455  3 Br 2.56, 3 Cd 2.71
Ni 0.7545 0.7545 0.7545  3 Br 2.56, 3 Cd 2.71
Br 0.5000 0.5000 0.5000  6 Ni 2.56


Density functional theory data (PBE) for Cd3NiBr after structural relaxation.

- Formation energy from raw total energies: 0.042 eV/atom
- DFT total energy: -1.9981 eV/atom
- ΔE to the lowest computed polymorph: 0 meV/atom
- SG: No. 221

a b c (Å): 5.0808 5.0808 5.0808
angles (deg): 90.00 90.00 90.00
Last column: nearest neighbours and their distance in Å.
Positions (direct):
Cd 0.0000 0.0000 0.5000  2 Ni 2.54
Cd 0.0000 0.5000 0.0000  2 Ni 2.54
Cd 0.5000 0.0000 0.0000  2 Ni 2.54
Ni 0.0000 0.0000 0.0000  6 Cd 2.54
Br 0.5000 0.5000 0.5000  12 Cd 3.59


no.,density of states at the Fermi level (states/eV/f.u.)
1,3.14
2,4.38
3,1.84